(1)
! SrPrTc, optimized geometry, DFT GGA-PBE; values from VASP
! Total DFT energy (no corrections) in eV/atom: -4.389
&SYSTEM
  ibrav = 0, nat = 3, ntyp = 3
/
ATOMIC_SPECIES
Sr 87.62 Sr.upf
Pr 140.91 Pr.upf
Tc 98.00 Tc.upf
CELL_PARAMETERS angstrom
-2.3057 -4.3272 0.8784
-4.8986 -0.4194 -0.8003
-1.6763 -2.7459 -3.8030
ATOMIC_POSITIONS angstrom
Sr -2.2201 -1.8731 -0.9312
Pr 0.0000 0.0000 0.0000
Tc -6.6604 -5.6194 -2.7937

(2)
! Sr2PrTe3, optimized geometry, DFT GGA-PBE; values from VASP
! Total DFT energy (no corrections) in eV/atom: -4.551
&SYSTEM
  ibrav = 0, nat = 6, ntyp = 3
/
ATOMIC_SPECIES
Te 127.60 Te.upf
Sr 87.62 Sr.upf
Pr 140.91 Pr.upf
CELL_PARAMETERS angstrom
-1.6638 -4.3178 -0.0089
2.1916 1.6427 -3.7296
10.0475 -3.8803 4.1951
ATOMIC_POSITIONS angstrom
Te 2.5155 -0.9655 -1.8176
Te 8.0599 -5.5899 2.2742
Te 5.0238 -1.9401 2.0976
Sr 2.9396 -3.6125 0.1363
Sr 7.6358 -2.9430 0.3203
Pr 0.0000 0.0000 0.0000

(3)
! SrPrW, optimized geometry, DFT GGA-PBE; values from VASP
! Excess energy over the best structure of this formula in the dataset in meV/atom: 0
&SYSTEM
  ibrav = 0, nat = 3, ntyp = 3
/
ATOMIC_SPECIES
W 183.84 W.upf
Sr 87.62 Sr.upf
Pr 140.91 Pr.upf
CELL_PARAMETERS angstrom
-4.9737 1.3964 0.8368
-2.5289 2.9166 -3.5335
-3.8295 -2.1097 -2.8761
ATOMIC_POSITIONS angstrom
W 0.0000 0.0000 0.0000
Sr -8.4990 1.6524 -4.1795
Pr -2.8330 0.5508 -1.3932

(4)
! SrPrY, optimized geometry, DFT GGA-PBE; values from VASP
! Excess energy over the best structure of this formula in the dataset in meV/atom: 0
&SYSTEM
  ibrav = 0, nat = 3, ntyp = 3
/
ATOMIC_SPECIES
Pr 140.91 Pr.upf
Sr 87.62 Sr.upf
Y 88.91 Y.upf
CELL_PARAMETERS angstrom
0.0000 4.1215 4.1215
4.1215 0.0000 4.1215
4.1215 4.1215 0.0000
ATOMIC_POSITIONS angstrom
Pr 4.1215 4.1215 4.1215
Sr 0.0000 0.0000 0.0000
Y 2.0607 2.0607 2.0607

(5)
! SrPrZr, optimized geometry, DFT GGA-PBE; values from VASP
! Total DFT energy (no corrections) in eV/atom: -4.010
&SYSTEM
  ibrav = 0, nat = 3, ntyp = 3
/
ATOMIC_SPECIES
Sr 87.62 Sr.upf
Pr 140.91 Pr.upf
Zr 91.22 Zr.upf
CELL_PARAMETERS angstrom
0.0000 3.9557 3.9557
3.9557 0.0000 3.9557
3.9557 3.9557 0.0000
ATOMIC_POSITIONS angstrom
Sr 5.9336 5.9336 5.9336
Pr 1.9778 1.9778 1.9778
Zr 0.0000 0.0000 0.0000

(6)
! PrTa, optimized geometry, DFT GGA-PBE; values from VASP
! Excess energy over the best structure of this formula in the dataset in meV/atom: 845
! ΔH_f (0 K) in eV per atom: 1.568
&SYSTEM
  ibrav = 0, nat = 2, ntyp = 2
/
ATOMIC_SPECIES
Pr 140.91 Pr.upf
Ta 180.95 Ta.upf
CELL_PARAMETERS angstrom
0.0000 3.0419 3.0419
3.0419 0.0000 3.0419
3.0419 3.0419 0.0000
ATOMIC_POSITIONS angstrom
Pr 0.0000 0.0000 0.0000
Ta 3.0419 3.0419 3.0419

(7)
! Pr2Ta, optimized geometry, DFT GGA-PBE; values from VASP
! Excess energy over the best structure of this formula in the dataset in meV/atom: 260
! ΔH_f (0 K) in eV per atom: 1.180
&SYSTEM
  ibrav = 0, nat = 6, ntyp = 2
/
ATOMIC_SPECIES
Pr 140.91 Pr.upf
Ta 180.95 Ta.upf
CELL_PARAMETERS angstrom
0.0000 4.3776 4.3776
4.3776 0.0000 4.3776
4.3776 4.3776 0.0000
ATOMIC_POSITIONS angstrom
Pr 3.2832 3.2832 5.4720
Ta 2.1888 2.1888 2.1888
Ta 0.0000 0.0000 0.0000
Pr 3.2832 5.4720 3.2832
Pr 5.4720 5.4720 5.4720
Pr 5.4720 3.2832 3.2832

(8)
! Pr2Ta, optimized geometry, DFT GGA-PBE; values from VASP
! Excess energy over the best structure of this formula in the dataset in meV/atom: 1153
! ΔH_f (0 K) in eV per atom: 2.072
&SYSTEM
  ibrav = 0, nat = 6, ntyp = 2
/
ATOMIC_SPECIES
Pr 140.91 Pr.upf
Ta 180.95 Ta.upf
CELL_PARAMETERS angstrom
2.8734 -6.5689 4.9582
8.5459 -0.9776 1.4154
3.3251 1.6274 7.8922
ATOMIC_POSITIONS angstrom
Pr 5.5292 -2.2197 5.3497
Pr 6.9659 -5.5041 7.8288
Pr 7.1917 -1.4060 9.2958
Pr 9.8021 -2.7085 6.0574
Ta 3.6861 -1.4798 3.5665
Ta 7.3722 -2.9596 7.1329

Q: Which formula does entry 4 have?
A: SrPrY